First-principles (PBE-GGA) data for a relaxed structure of Cs2AgSnCl6, as listed in OQMD.

Values from the calculation:
- SG = I4/mmm, No. 139
- E_tot (eV/atom) = -3.29
- ρ (g/cm³) = 3.8

```
Cs2AgSnCl6
1.0
-3.769 3.769 5.354
3.769 -3.769 5.354
3.769 3.769 -5.354
Cs Ag Sn Cl
2 1 1 6
Direct
0.250 0.750 0.500
0.750 0.250 0.500
0.000 0.000 0.000
0.500 0.500 0.000
0.252 0.252 0.000
0.252 0.252 0.503
0.252 0.748 0.000
0.748 0.252 0.000
0.748 0.748 0.000
0.748 0.748 0.497
```